Entry 1:
Here is an optimized crystal structure of ScAg2Ir from the Alexandria database. Energies are from GGA-PBEsol.

abc: 2.942 4.640 4.931
angles: 90.00 90.00 94.34
Atoms (fractional coordinates):
Ir1 0.000 0.500 0.500
Sc1 0.500 0.000 0.500
Ag1 0.232 0.256 0.000
Ag2 0.768 0.744 0.000

Summary:
- formation energy (meV per atom) = -113.6
- crystal system = monoclinic
- space-group type = P2/m
- excess energy over the best structure of this formula in the dataset (eV per atom) = 0.000


Entry 2:
Here is an optimized crystal structure of SrSc2AgIr from the Alexandria database. Energies are from GGA-PBEsol.

abc: 4.945 4.945 5.766
angles: 90.00 90.00 90.00
Atoms (fractional coordinates):
Sr1 0.000 0.000 0.500
Ir1 0.000 0.000 0.000
Ag1 0.500 0.500 0.500
Sc1 0.500 0.000 0.000
Sc2 0.000 0.500 0.000

Summary:
- formation energy (meV per atom) = -42.7
- crystal system = tetragonal
- space-group type = P4/mmm


Entry 3:
Here is an optimized crystal structure of AgIrSe2 from the Alexandria database. Energies are from GGA-PBEsol.

abc: 2.966 4.114 6.543
angles: 108.32 103.10 90.00
Atoms (fractional coordinates):
Ir1 0.276 0.776 0.551
Se1 0.720 0.220 0.440
Se2 0.943 0.943 0.887
Ag1 0.561 0.561 0.122

Summary:
- crystal system = orthorhombic
- space-group type = Imm2
- formation energy from raw total energies (eV/atom) = 0.22


Entry 4:
Here is an optimized crystal structure of AgIr2Se from the Alexandria database. Energies are from GGA-PBEsol.

abc: 2.774 4.724 4.758
angles: 90.00 90.00 90.00
Atoms (fractional coordinates):
Ir1 0.000 0.000 0.000
Ir2 0.500 0.000 0.500
Se1 0.500 0.500 0.000
Ag1 0.000 0.500 0.500

Summary:
- crystal system = orthorhombic
- space-group type = Pmmm
- formation energy from raw total energies (eV/atom) = 0.59


Entry 5:
Here is an optimized crystal structure of AgIr2Se from the Alexandria database. Energies are from GGA-PBEsol.

abc: 2.769 4.788 5.449
angles: 115.97 104.56 90.33
Atoms (fractional coordinates):
Se1 0.500 0.500 0.000
Ir1 0.000 0.000 0.500
Ir2 0.500 0.500 0.500
Ag1 0.000 0.000 0.000

Summary:
- crystal system = monoclinic
- space-group type = C2/m
- formation energy from raw total energies (eV/atom) = 0.57


Entry 6:
Here is an optimized crystal structure of AgIr2Se from the Alexandria database. Energies are from GGA-PBEsol.

abc: 2.773 2.773 9.275
angles: 90.00 90.00 119.97
Atoms (fractional coordinates):
Ir1 0.000 0.000 0.742
Ir2 0.000 0.000 0.258
Se1 0.500 0.500 0.500
Ag1 0.500 0.500 0.000

Summary:
- crystal system = orthorhombic
- space-group type = Cmmm
- formation energy from raw total energies (eV/atom) = 0.54


Entry 7:
Here is an optimized crystal structure of AgIr2Se from the Alexandria database. Energies are from GGA-PBEsol.

abc: 3.578 4.142 4.142
angles: 90.00 90.00 90.00
Atoms (fractional coordinates):
Ir1 0.000 0.500 0.000
Ir2 0.000 0.000 0.500
Ag1 0.500 0.000 0.000
Se1 0.500 0.500 0.500

Summary:
- crystal system = tetragonal
- space-group type = P4/mmm
- formation energy from raw total energies (eV/atom) = 0.69


Entry 8:
Here is an optimized crystal structure of AgIrSe2 from the Alexandria database. Energies are from GGA-PBEsol.

abc: 3.724 3.724 7.694
angles: 75.99 75.99 60.00
Atoms (fractional coordinates):
Se1 0.111 0.111 0.666
Se2 0.889 0.889 0.334
Ag1 0.000 0.000 0.000
Ir1 0.500 0.500 0.500

Summary:
- crystal system = trigonal
- space-group type = R-3m
- formation energy from raw total energies (eV/atom) = -0.14


Entry 9:
Here is an optimized crystal structure of AgIrSe2 from the Alexandria database. Energies are from GGA-PBEsol.

abc: 6.162 6.434 6.162
angles: 61.39 90.00 118.61
Atoms (fractional coordinates):
Ir1 0.750 0.500 0.750
Ir2 0.000 0.000 0.000
Se1 0.094 0.750 0.875
Se2 0.656 0.750 0.375
Se3 0.875 0.250 0.656
Se4 0.375 0.250 0.094
Ag1 0.500 0.000 0.500
Ag2 0.250 0.500 0.250

Summary:
- crystal system = tetragonal
- space-group type = I-42d
- formation energy from raw total energies (eV/atom) = 0.17


Entry 10:
Here is an optimized crystal structure of AgIrSe2 from the Alexandria database. Energies are from GGA-PBEsol.

abc: 3.674 3.674 6.854
angles: 74.53 74.53 60.05
Atoms (fractional coordinates):
Ag1 0.000 0.000 0.500
Se1 0.233 0.233 0.798
Se2 0.767 0.767 0.202
Ir1 0.500 0.500 0.000

Summary:
- crystal system = monoclinic
- space-group type = C2/m
- formation energy from raw total energies (eV/atom) = -0.05


Entry 11:
Here is an optimized crystal structure of AgIr2Se from the Alexandria database. Energies are from GGA-PBEsol.

abc: 4.449 4.449 4.449
angles: 60.00 60.00 60.00
Atoms (fractional coordinates):
Ir1 0.000 0.000 0.000
Ir2 0.750 0.750 0.750
Ag1 0.500 0.500 0.500
Se1 0.250 0.250 0.250

Summary:
- crystal system = cubic
- space-group type = F-43m
- formation energy from raw total energies (eV/atom) = 0.68


Entry 12:
Here is an optimized crystal structure of AgIrSe2 from the Alexandria database. Energies are from GGA-PBEsol.

abc: 3.597 5.026 5.128
angles: 100.68 110.53 90.00
Atoms (fractional coordinates):
Ir1 0.296 0.592 0.593
Se1 0.897 0.905 0.793
Se2 0.721 0.282 0.441
Ag1 0.586 0.721 0.173

Summary:
- crystal system = monoclinic
- space-group type = Cm
- formation energy from raw total energies (eV/atom) = 0.08


Entry 13:
Here is an optimized crystal structure of AgIr2Se from the Alexandria database. Energies are from GGA-PBEsol.

abc: 2.832 4.645 5.510
angles: 114.93 104.89 90.00
Atoms (fractional coordinates):
Se1 0.472 0.472 0.944
Ir1 0.757 0.257 0.515
Ir2 0.021 0.021 0.043
Ag1 0.249 0.749 0.499

Summary:
- crystal system = orthorhombic
- space-group type = Imm2
- formation energy from raw total energies (eV/atom) = 0.46


Entry 14:
Here is an optimized crystal structure of AgIr2Se from the Alexandria database. Energies are from GGA-PBEsol.

abc: 2.818 4.327 5.215
angles: 90.00 103.59 90.00
Atoms (fractional coordinates):
Ir1 0.375 0.000 0.235
Ir2 0.625 0.000 0.765
Ag1 0.000 0.500 0.500
Se1 0.500 0.500 0.000

Summary:
- crystal system = monoclinic
- space-group type = P2/m
- formation energy from raw total energies (eV/atom) = 0.46


Entry 15:
Here is an optimized crystal structure of SiAg2Ir from the Alexandria database. Energies are from GGA-PBEsol.

abc: 2.840 4.186 5.153
angles: 90.00 90.00 90.00
Atoms (fractional coordinates):
Ag1 0.000 0.000 0.750
Ag2 0.000 0.000 0.250
Ir1 0.500 0.500 0.000
Si1 0.500 0.500 0.500

Summary:
- crystal system = orthorhombic
- space-group type = Pmmm
- formation energy from raw total energies (eV/atom) = 0.29


Entry 16:
Here is an optimized crystal structure of SiAgIr2 from the Alexandria database. Energies are from GGA-PBEsol.

abc: 2.779 2.779 8.738
angles: 80.85 80.85 60.00
Atoms (fractional coordinates):
Ir1 0.003 0.003 0.991
Ir2 0.757 0.757 0.729
Ag1 0.245 0.245 0.265
Si1 0.495 0.495 0.515

Summary:
- crystal system = trigonal
- space-group type = R3m
- formation energy from raw total energies (eV/atom) = 0.04


Entry 17:
Here is an optimized crystal structure of SiAg2Ir from the Alexandria database. Energies are from GGA-PBEsol.

abc: 3.674 3.674 5.172
angles: 110.80 110.80 90.00
Atoms (fractional coordinates):
Ir1 0.500 0.500 0.000
Ag1 0.250 0.750 0.500
Ag2 0.750 0.250 0.500
Si1 0.000 0.000 0.000

Summary:
- crystal system = tetragonal
- space-group type = I4/mmm
- formation energy from raw total energies (eV/atom) = 0.18


Entry 18:
Here is an optimized crystal structure of SiAg2Ir from the Alexandria database. Energies are from GGA-PBEsol.

abc: 2.820 4.362 4.957
angles: 90.00 90.00 91.57
Atoms (fractional coordinates):
Ag1 0.259 0.249 0.000
Ag2 0.741 0.751 0.000
Ir1 0.000 0.500 0.500
Si1 0.500 0.000 0.500

Summary:
- crystal system = monoclinic
- space-group type = P2/m
- formation energy from raw total energies (eV/atom) = 0.15


Entry 19:
Here is an optimized crystal structure of SiAgIr2 from the Alexandria database. Energies are from GGA-PBEsol.

abc: 2.869 2.869 6.863
angles: 90.00 90.00 90.00
Atoms (fractional coordinates):
Ir1 0.000 0.000 0.205
Ir2 0.000 0.000 0.795
Si1 0.500 0.500 0.000
Ag1 0.500 0.500 0.500

Summary:
- crystal system = tetragonal
- space-group type = P4/mmm
- formation energy from raw total energies (eV/atom) = -0.25


Entry 20:
Here is an optimized crystal structure of Si2AgIr from the Alexandria database. Energies are from GGA-PBEsol.

abc: 5.733 6.408 5.733
angles: 116.57 90.00 116.57
Atoms (fractional coordinates):
Ir1 0.250 0.500 0.750
Ir2 0.000 0.000 0.000
Si1 0.125 0.750 0.655
Si2 0.625 0.750 0.095
Si3 0.905 0.250 0.875
Si4 0.345 0.250 0.375
Ag1 0.750 0.500 0.250
Ag2 0.500 0.000 0.500

Summary:
- crystal system = tetragonal
- space-group type = I-42d
- formation energy from raw total energies (eV/atom) = 0.27
- excess energy over the best structure of this formula in the dataset (eV per atom) = 0.061


Entry 21:
Here is an optimized crystal structure of SiAg2Ir from the Alexandria database. Energies are from GGA-PBEsol.

abc: 4.378 4.378 4.378
angles: 60.00 60.00 60.00
Atoms (fractional coordinates):
Ag1 0.750 0.750 0.750
Ag2 0.000 0.000 0.000
Si1 0.250 0.250 0.250
Ir1 0.500 0.500 0.500

Summary:
- crystal system = cubic
- space-group type = F-43m
- formation energy from raw total energies (eV/atom) = 0.14


Entry 22:
Here is an optimized crystal structure of SiAg2Ir from the Alexandria database. Energies are from GGA-PBEsol.

abc: 3.731 3.731 4.276
angles: 90.00 90.00 90.00
Atoms (fractional coordinates):
Ag1 0.000 0.500 0.000
Ag2 0.500 0.000 0.000
Ir1 0.500 0.500 0.500
Si1 0.000 0.000 0.500

Summary:
- crystal system = tetragonal
- space-group type = P4/mmm
- formation energy from raw total energies (eV/atom) = 0.13


Entry 23:
Here is an optimized crystal structure of SiAgIr2 from the Alexandria database. Energies are from GGA-PBEsol.

abc: 2.742 4.450 4.764
angles: 90.00 90.00 90.00
Atoms (fractional coordinates):
Si1 0.500 0.500 0.000
Ir1 0.500 0.000 0.500
Ir2 0.000 0.000 0.000
Ag1 0.000 0.500 0.500

Summary:
- crystal system = orthorhombic
- space-group type = Pmmm
- formation energy from raw total energies (eV/atom) = 0.24


Entry 24:
Here is an optimized crystal structure of Si2AgIr from the Alexandria database. Energies are from GGA-PBEsol.

abc: 2.774 2.774 8.826
angles: 90.00 90.00 118.46
Atoms (fractional coordinates):
Ag1 0.000 0.000 0.502
Ir1 0.500 0.500 0.223
Si1 0.500 0.500 0.765
Si2 0.000 0.000 0.010

Summary:
- crystal system = orthorhombic
- space-group type = Cmm2
- formation energy from raw total energies (eV/atom) = 0.20
- excess energy over the best structure of this formula in the dataset (eV per atom) = 0.000


Entry 25:
Here is an optimized crystal structure of SiAg2Ir from the Alexandria database. Energies are from GGA-PBEsol.

abc: 3.519 4.350 4.889
angles: 116.41 111.10 90.00
Atoms (fractional coordinates):
Ag1 0.757 0.257 0.515
Ag2 0.973 0.973 0.945
Ir1 0.540 0.540 0.081
Si1 0.230 0.730 0.459

Summary:
- crystal system = orthorhombic
- space-group type = Imm2
- formation energy from raw total energies (eV/atom) = 0.08


Entry 26:
Here is an optimized crystal structure of Sr3AgIr from the Alexandria database. Energies are from GGA-PBEsol.

abc: 5.649 5.649 5.649
angles: 90.00 90.00 90.00
Atoms (fractional coordinates):
Sr1 0.000 0.500 0.000
Sr2 0.000 0.000 0.500
Sr3 0.500 0.000 0.000
Ir1 0.500 0.500 0.500
Ag1 0.000 0.000 0.000

Summary:
- formation energy (meV per atom) = 730.6
- crystal system = cubic
- space-group type = Pm-3m


Entry 27:
Here is an optimized crystal structure of TaAgIr2 from the Alexandria database. Energies are from GGA-PBEsol.

abc: 2.960 3.601 5.786
angles: 90.00 90.00 90.00
Atoms (fractional coordinates):
Ta1 0.500 0.500 0.000
Ir1 0.000 0.000 0.245
Ir2 0.000 0.000 0.755
Ag1 0.500 0.500 0.500

Summary:
- formation energy (meV per atom) = -215.3
- crystal system = orthorhombic
- space-group type = Pmmm


Entry 28:
Here is an optimized crystal structure of TcAgIr2 from the Alexandria database. Energies are from GGA-PBEsol.

abc: 2.723 4.745 4.759
angles: 99.44 106.63 90.00
Atoms (fractional coordinates):
Ag1 0.252 0.757 0.504
Ir1 0.008 0.001 0.016
Ir2 0.748 0.263 0.497
Tc1 0.492 0.479 0.984

Summary:
- formation energy (meV per atom) = 250.4
- crystal system = monoclinic
- space-group type = Cm
- excess energy over the best structure of this formula in the dataset (eV per atom) = 0.000


Entry 29:
Here is an optimized crystal structure of TcAgIr from the Alexandria database. Energies are from GGA-PBEsol.

abc: 2.747 3.803 4.839
angles: 113.14 106.49 90.00
Atoms (fractional coordinates):
Tc1 0.319 0.319 0.638
Ir1 0.681 0.681 0.361
Ag1 0.000 0.000 0.000

Summary:
- formation energy (meV per atom) = 257.3
- crystal system = orthorhombic
- space-group type = Imm2


Entry 30:
Here is an optimized crystal structure of Tc3AgIr from the Alexandria database. Energies are from GGA-PBEsol.

abc: 4.638 4.638 4.638
angles: 90.00 90.00 90.00
Each line ends with the local moment (μB).
Atoms (fractional coordinates):
Tc1 0.000 0.000 0.500  0.73
Tc2 0.500 0.000 0.000  0.73
Tc3 0.000 0.500 0.000  0.73
Ir1 0.000 0.000 0.000  -0.03
Ag1 0.500 0.500 0.500  0.03

Summary:
- formation energy (meV per atom) = 1909.8
- crystal system = cubic
- space-group type = Pm-3m